The following is a PBE-GGA calculation of a geometry-optimized Rb3CaOs structure, from Alexandria.

Computed properties:
Final energy = -1.973 eV per atom
DFT formation energy = 1.2540 eV/atom

Cell: 6.6225 6.6225 6.6225 Å, 90.00 90.00 90.00°
Space group Pm-3m (No. 221)
Symmetry-distinct sites (fractional):
Rb (0.0000, 0.0000, 0.5000) [3 per cell]
Ca (0.5000, 0.5000, 0.5000) [1 per cell]
Os (0.0000, 0.0000, 0.0000) [1 per cell]